Compound: CaTlCd2
Source: Alexandria via LeMat-Bulk
Functional: PBE-GGA
Structure: optimized geometry

abc: 3.9652 3.9675 6.9172
angles: 90.00 90.00 90.00
Fractional positions:
Tl1 0.5000 0.5000 0.2500
Ca1 0.5000 0.5000 0.7500
Cd1 0.0000 0.0000 0.0045
Cd2 0.0000 0.0000 0.4955

Calculated values
Its polymorph energy (0 for the lowest one) is 16 kJ/mol of formula units. The value obtained for the volume is 27.2 Å³/atom. As for the total energy: -1.75 eV per atom. The value obtained for the formation energy from the elements is -19.0 kJ/mol of atoms.